Y3Ge2H | GGA-PBE | relaxed

Cell: 5.754 8.122 7.000 Å, 106.82 114.27 90.00°
Positions (direct):
Y: 0.469 0.250 0.000
Y: 0.531 0.750 0.000
Y: 0.166 0.085 0.336
Y: 0.830 0.415 0.664
Y: 0.170 0.585 0.336
Y: 0.834 0.915 0.664
Ge: 0.667 0.582 0.328
Ge: 0.661 0.082 0.328
Ge: 0.339 0.918 0.672
Ge: 0.333 0.418 0.672
H: 0.955 0.750 0.000
H: 0.045 0.250 0.000

Results
calculated total energy	-71.504	eV for the cell shown
symmetry	C2/c (15)
M_tot	0.00	μB per cell


YZr2GeH | GGA-PBE | relaxed

Cell: 4.414 4.622 4.414 Å, 90.00 90.00 90.00°
Positions (direct):
Y: 0.000 0.500 0.000
H: 0.000 0.000 0.000
Ge: 0.500 0.500 0.500
Zr: 0.000 0.000 0.500
Zr: 0.500 0.000 0.000

Results
calculated total energy	-33.493	eV for the cell shown
symmetry	P4/mmm (123)
M_tot	0.00	μB per cell


Zn2GeH2 | GGA-PBE | relaxed

Cell: 3.056 3.056 6.650 Å, 76.72 76.72 90.00°
Positions (direct):
H: 0.750 0.250 0.500
H: 0.250 0.750 0.500
Ge: 0.000 0.000 0.000
Zn: 0.348 0.348 0.303
Zn: 0.652 0.652 0.697

Results
calculated total energy	-12.032	eV for the cell shown
symmetry	I4/mmm (139)
M_tot	0.00	μB per cell


Q: What is the calculated total energy in the first record?
A: -71.504 eV for the cell shown


Please write out number 1 again, unchanged.
Y3Ge2H | GGA-PBE | relaxed

Cell: 5.754 8.122 7.000 Å, 106.82 114.27 90.00°
Positions (direct):
Y: 0.469 0.250 0.000
Y: 0.531 0.750 0.000
Y: 0.166 0.085 0.336
Y: 0.830 0.415 0.664
Y: 0.170 0.585 0.336
Y: 0.834 0.915 0.664
Ge: 0.667 0.582 0.328
Ge: 0.661 0.082 0.328
Ge: 0.339 0.918 0.672
Ge: 0.333 0.418 0.672
H: 0.955 0.750 0.000
H: 0.045 0.250 0.000

Results
calculated total energy	-71.504	eV for the cell shown
symmetry	C2/c (15)
M_tot	0.00	μB per cell


Q: Which of these has the highest calculated total energy?
A: Zn2GeH2


Q: What is the calculated total energy in the first record?
A: -71.504 eV for the cell shown